No. 1
## Al2HgTeS3 (PBE-GGA)

Data for a relaxed structure of Al2HgTeS3.

Unit cell a=5.743 b=5.874 c=6.548 alpha=113.36 beta=113.57 gamma=92.26
Atoms (fractional coordinates):
Al  0.500  0.519  0.019
Al  0.235  0.725  0.489
Hg  0.991  0.994  0.993
S  0.388  0.413  0.271
S  0.874  0.837  0.273
S  0.160  0.615  0.757
Te  0.602  0.146  0.697

## Properties
* VASP energy: -4.029 eV/atom

***

No. 2
## NaNiSbS3 (PBE-GGA)

Data for a relaxed structure of NaNiSbS3.

Unit cell a=6.563 b=6.563 c=10.530 alpha=90.00 beta=90.00 gamma=146.04
Site moments in Bohr magnetons follow the coordinates.
Atoms (fractional coordinates):
Na  0.751  0.249  0.250  0.00
Na  0.249  0.751  0.750  0.00
Ni  0.027  0.973  0.250  1.05
Ni  0.973  0.027  0.750  1.05
S  0.137  0.863  0.078  0.12
S  0.432  0.568  0.250  0.18
S  0.137  0.863  0.422  0.12
S  0.863  0.137  0.578  0.12
S  0.568  0.432  0.750  0.18
S  0.863  0.137  0.922  0.12
Sb  0.500  0.500  0.000  0.00
Sb  0.500  0.500  0.500  0.00

## Properties
* M_tot: 0.30 μB per atom
* VASP energy: -4.287 eV/atom

***

No. 3
## AlZnB4 (PBE-GGA)

Data for a relaxed structure of AlZnB4.

Unit cell a=4.493 b=4.493 c=4.493 alpha=140.52 beta=108.41 gamma=84.97
Atoms (fractional coordinates):
Al  0.000  0.000  0.000
B  0.585  0.252  0.333
B  0.081  0.748  0.333
B  0.919  0.252  0.667
B  0.415  0.748  0.667
Zn  0.500  0.500  0.000

## Properties
* VASP energy: -5.171 eV/atom
* excess energy over the best structure of this formula in the dataset: 0.0201 eV/atom

***

No. 4
## Nd2Gd2BI5 (PBE-GGA)

Data for a relaxed structure of Nd2Gd2BI5.

Unit cell a=9.845 b=9.845 c=8.931 alpha=102.22 beta=102.22 gamma=24.30
Atoms (fractional coordinates):
B  0.500  0.500  0.000
Gd  0.636  0.636  0.069
Gd  0.364  0.364  0.931
I  0.826  0.826  0.167
I  0.167  0.167  0.335
I  0.500  0.500  0.500
I  0.833  0.833  0.665
I  0.174  0.174  0.833
Nd  0.999  0.999  0.201
Nd  0.001  0.001  0.799

## Properties
* M_tot: 0.00 μB per atom
* VASP energy: -4.426 eV/atom

***

No. 5
## Hg2GePd (PBE-GGA)

Data for a relaxed structure of Hg2GePd.

Unit cell a=4.842 b=4.842 c=4.842 alpha=60.00 beta=60.00 gamma=60.00
Atoms (fractional coordinates):
Ge  0.500  0.500  0.500
Hg  0.000  0.000  0.000
Hg  0.750  0.750  0.750
Pd  0.250  0.250  0.250

## Properties
* VASP energy: -2.456 eV/atom

***

No. 6
## SrPrNi2P2 (PBE-GGA)

Data for a relaxed structure of SrPrNi2P2.

Unit cell a=3.971 b=3.971 c=8.472 alpha=90.00 beta=90.00 gamma=120.00
Atoms (fractional coordinates):
Ni  0.333  0.667  0.260
Ni  0.667  0.333  0.740
P  0.667  0.333  0.260
P  0.333  0.667  0.740
Pr  0.000  0.000  0.500
Sr  0.000  0.000  0.000

## Properties
* M_tot: 0.00 μB per atom
* VASP energy: -5.748 eV/atom

***

No. 7
## PaGaAu (PBE-GGA)

Data for a relaxed structure of PaGaAu.

Unit cell a=4.635 b=4.635 c=4.635 alpha=60.00 beta=60.00 gamma=60.00
Site moments in Bohr magnetons follow the coordinates.
Atoms (fractional coordinates):
Au  0.000  0.000  0.000  0.00
Ga  0.750  0.750  0.750  0.01
Pa  0.500  0.500  0.500  0.88

## Properties
* M_tot: 0.33 μB per atom
* VASP energy: -5.330 eV/atom

***

No. 8
## MgZnNiMo (PBE-GGA)

Data for a relaxed structure of MgZnNiMo.

Unit cell a=4.338 b=4.338 c=4.338 alpha=60.00 beta=60.00 gamma=60.00
Atoms (fractional coordinates):
Mg  0.250  0.250  0.250
Mo  0.500  0.500  0.500
Ni  0.750  0.750  0.750
Zn  0.000  0.000  0.000

## Properties
* M_tot: 0.49 μB per atom
* VASP energy: -4.546 eV/atom
* excess energy over the best structure of this formula in the dataset: 0.0000 eV/atom

***

No. 9
## CsLuZnSe3 (PBE-GGA)

Data for a relaxed structure of CsLuZnSe3.

Unit cell a=9.538 b=4.137 c=10.351 alpha=90.00 beta=112.80 gamma=90.00
Atoms (fractional coordinates):
Cs  0.728  0.250  0.253
Cs  0.272  0.750  0.747
Lu  0.171  0.250  0.135
Lu  0.829  0.750  0.865
Se  0.379  0.750  0.142
Se  0.978  0.750  0.153
Se  0.299  0.250  0.449
Se  0.701  0.750  0.551
Se  0.022  0.250  0.847
Se  0.621  0.250  0.858
Zn  0.418  0.750  0.389
Zn  0.582  0.250  0.611

## Properties
* M_tot: 0.00 μB per atom
* VASP energy: -4.237 eV/atom

***

No. 10
## CoOsPdPb (PBE-GGA)

Data for a relaxed structure of CoOsPdPb.

Unit cell a=4.503 b=4.503 c=4.503 alpha=60.00 beta=60.00 gamma=60.00
Atoms (fractional coordinates):
Co  0.750  0.750  0.750
Os  0.250  0.250  0.250
Pb  0.000  0.000  0.000
Pd  0.500  0.500  0.500

## Properties
* M_tot: 0.54 μB per atom
* VASP energy: -6.185 eV/atom
* excess energy over the best structure of this formula in the dataset: 0.0000 eV/atom

***

No. 11
## Zr3U (PBE-GGA)

Data for a relaxed structure of Zr3U.

Unit cell a=6.142 b=6.595 c=5.101 alpha=90.00 beta=90.00 gamma=117.75
Atoms (fractional coordinates):
U  0.968  0.435  0.000
U  0.866  0.231  0.500
Zr  0.490  0.479  0.000
Zr  0.482  0.963  0.000
Zr  0.981  0.963  0.000
Zr  0.344  0.188  0.500
Zr  0.852  0.704  0.500
Zr  0.352  0.704  0.500

## Properties
* M_tot: 0.42 μB per atom
* VASP energy: -9.085 eV/atom
* excess energy over the best structure of this formula in the dataset: 0.0000 eV/atom

***

No. 12
## PrThU (PBE-GGA)

Data for a relaxed structure of PrThU.

Unit cell a=5.307 b=5.307 c=5.307 alpha=60.00 beta=60.00 gamma=60.00
Site moments in Bohr magnetons follow the coordinates.
Atoms (fractional coordinates):
Pr  0.250  0.250  0.250  0.33
Th  0.750  0.750  0.750  0.48
U  0.000  0.000  0.000  3.00

## Properties
* M_tot: 1.55 μB per atom
* VASP energy: -6.667 eV/atom
* excess energy over the best structure of this formula in the dataset: 0.0000 eV/atom

***

No. 13
## BeSi2Hg (PBE-GGA)

Data for a relaxed structure of BeSi2Hg.

Unit cell a=4.530 b=4.530 c=4.530 alpha=60.00 beta=60.00 gamma=60.00
Atoms (fractional coordinates):
Be  0.500  0.500  0.500
Hg  0.250  0.250  0.250
Si  0.000  0.000  0.000
Si  0.750  0.750  0.750

## Properties
* VASP energy: -2.942 eV/atom

***

No. 14
## Tm5Pb3 (PBE-GGA)

Data for a relaxed structure of Tm5Pb3.

Unit cell a=9.004 b=9.004 c=9.004 alpha=97.01 beta=97.01 gamma=139.10
Site moments in Bohr magnetons follow the coordinates.
Atoms (fractional coordinates):
Pb  0.250  0.250  0.000  -0.01
Pb  0.750  0.750  0.000  -0.01
Pb  0.835  0.335  0.171  0.00
Pb  0.335  0.165  0.500  0.00
Pb  0.665  0.835  0.500  0.00
Pb  0.165  0.665  0.829  0.00
Tm  0.421  0.722  0.143  0.16
Tm  0.222  0.921  0.143  0.16
Tm  0.079  0.222  0.300  0.16
Tm  0.722  0.579  0.300  0.16
Tm  0.750  0.250  0.500  0.18
Tm  0.250  0.750  0.500  0.18
Tm  0.921  0.778  0.700  0.16
Tm  0.278  0.421  0.700  0.16
Tm  0.778  0.079  0.857  0.16
Tm  0.579  0.278  0.857  0.16

## Properties
* M_tot: 0.13 μB per atom
* VASP energy: -4.617 eV/atom

***

No. 15
## Pa2AlGa5 (PBE-GGA)

Data for a relaxed structure of Pa2AlGa5.

Unit cell a=6.066 b=6.066 c=6.066 alpha=119.68 beta=119.68 gamma=90.55
Atoms (fractional coordinates):
Al  0.778  0.778  0.000
Ga  0.277  0.277  0.000
Ga  0.778  0.278  0.000
Ga  0.278  0.778  0.000
Ga  0.778  0.778  0.500
Ga  0.278  0.278  0.500
Pa  0.778  0.278  0.500
Pa  0.278  0.778  0.500

## Properties
* M_tot: 0.00 μB per atom
* VASP energy: -5.089 eV/atom

***

No. 16
## Zr4AlSbC2 (PBE-GGA)

Data for a relaxed structure of Zr4AlSbC2.

Unit cell a=3.377 b=3.377 c=14.408 alpha=90.00 beta=90.00 gamma=120.00
Atoms (fractional coordinates):
Al  0.000  0.000  0.000
C  0.333  0.667  0.250
C  0.333  0.667  0.750
Sb  0.667  0.333  0.500
Zr  0.667  0.333  0.163
Zr  0.000  0.000  0.337
Zr  0.000  0.000  0.663
Zr  0.667  0.333  0.837

## Properties
* M_tot: 0.00 μB per atom
* VASP energy: -8.274 eV/atom

***

No. 17
## Ta4W25 (PBE-GGA)

Data for a relaxed structure of Ta4W25.

Unit cell a=8.591 b=8.591 c=8.591 alpha=109.47 beta=109.47 gamma=109.47
Atoms (fractional coordinates):
Ta  0.636  0.000  0.000
Ta  0.000  0.636  0.000
Ta  0.364  0.364  0.364
Ta  0.000  0.000  0.636
W  0.000  0.000  0.000
W  0.380  0.192  0.000
W  0.192  0.380  0.000
W  0.681  0.402  0.000
W  0.402  0.681  0.000
W  0.808  0.808  0.189
W  0.380  0.000  0.192
W  0.000  0.380  0.192
W  0.598  0.598  0.279
W  0.721  0.319  0.319
W  0.319  0.721  0.319
W  0.192  0.000  0.380
W  0.000  0.192  0.380
W  0.681  0.000  0.402
W  0.000  0.681  0.402
W  0.598  0.279  0.598
W  0.279  0.598  0.598
W  0.811  0.620  0.620
W  0.620  0.811  0.620
W  0.402  0.000  0.681
W  0.000  0.402  0.681
W  0.319  0.319  0.721
W  0.808  0.189  0.808
W  0.189  0.808  0.808
W  0.620  0.620  0.811

## Properties
* M_tot: 0.00 μB per atom
* VASP energy: -12.626 eV/atom

***

No. 18
## Ho4CBrF4 (PBE-GGA)

Data for a relaxed structure of Ho4CBrF4.

Unit cell a=7.511 b=7.511 c=7.816 alpha=114.67 beta=114.67 gamma=27.45
Atoms (fractional coordinates):
Br  0.500  0.500  0.500
C  0.500  0.500  0.000
F  0.824  0.824  0.069
F  0.191  0.191  0.322
F  0.809  0.809  0.678
F  0.176  0.176  0.931
Ho  0.674  0.674  0.131
Ho  0.006  0.006  0.210
Ho  0.994  0.994  0.790
Ho  0.326  0.326  0.869

## Properties
* M_tot: 0.00 μB per atom
* VASP energy: -6.076 eV/atom

***

No. 19
## Sc4TlAuC2 (PBE-GGA)

Data for a relaxed structure of Sc4TlAuC2.

Unit cell a=3.396 b=3.396 c=14.311 alpha=90.00 beta=90.00 gamma=120.00
Atoms (fractional coordinates):
Au  0.000  0.000  0.500
C  0.667  0.333  0.265
C  0.667  0.333  0.735
Sc  0.000  0.000  0.179
Sc  0.333  0.667  0.348
Sc  0.333  0.667  0.652
Sc  0.000  0.000  0.821
Tl  0.333  0.667  0.000

## Properties
* M_tot: 0.02 μB per atom
* VASP energy: -6.733 eV/atom

***

No. 20
## CsAgOsS3 (PBE-GGA)

Data for a relaxed structure of CsAgOsS3.

Unit cell a=8.449 b=3.782 c=9.862 alpha=90.00 beta=112.96 gamma=90.00
Site moments in Bohr magnetons follow the coordinates.
Atoms (fractional coordinates):
Ag  0.446  0.750  0.390  0.01
Ag  0.554  0.250  0.610  0.01
Cs  0.753  0.250  0.265  0.00
Cs  0.247  0.750  0.735  0.00
Os  0.175  0.250  0.148  0.16
Os  0.825  0.750  0.852  0.16
S  0.985  0.750  0.111  0.01
S  0.347  0.750  0.122  0.02
S  0.235  0.250  0.405  0.03
S  0.765  0.750  0.595  0.03
S  0.653  0.250  0.878  0.02
S  0.015  0.250  0.889  0.01

## Properties
* M_tot: 0.05 μB per atom
* VASP energy: -4.869 eV/atom
* excess energy over the best structure of this formula in the dataset: 0.0000 eV/atom

***

No. 21
## Nd2B5H2ClO10 (PBE-GGA)

Data for a relaxed structure of Nd2B5H2ClO10.

Unit cell a=6.414 b=6.487 c=6.520 alpha=61.30 beta=74.85 gamma=62.01
Site moments in Bohr magnetons follow the coordinates.
Atoms (fractional coordinates):
B  0.105  0.482  0.007  0.01
B  0.440  0.078  0.028  0.00
B  0.653  0.616  0.093  0.00
B  0.551  0.721  0.424  0.01
B  0.510  0.481  0.872  0.00
Cl  0.051  0.734  0.469  0.01
H  0.077  0.404  0.519  0.00
H  0.036  0.163  0.534  0.03
Nd  0.610  0.105  0.527  0.46
Nd  0.993  0.007  0.985  0.35
O  0.180  0.237  0.028  0.01
O  0.880  0.640  0.044  0.01
O  0.665  0.415  0.044  0.00
O  0.531  0.967  0.261  0.00
O  0.593  0.542  0.348  0.00
O  0.153  0.213  0.571  0.08
O  0.552  0.676  0.649  0.00
O  0.563  0.240  0.856  0.01
O  0.262  0.591  0.952  0.00
O  0.475  0.878  0.962  0.00

## Properties
* M_tot: 0.10 μB per atom
* VASP energy: -7.273 eV/atom

***

No. 22
## Hf3PbCN (PBE-GGA)

Data for a relaxed structure of Hf3PbCN.

Unit cell a=3.290 b=3.290 c=20.146 alpha=90.00 beta=90.00 gamma=120.00
Atoms (fractional coordinates):
C  0.333  0.667  0.068
C  0.667  0.333  0.932
Hf  0.000  0.000  0.000
Hf  0.667  0.333  0.126
Hf  0.667  0.333  0.373
Hf  0.000  0.000  0.500
Hf  0.333  0.667  0.627
Hf  0.333  0.667  0.874
N  0.333  0.667  0.437
N  0.667  0.333  0.563
Pb  0.000  0.000  0.250
Pb  0.000  0.000  0.750

## Properties
* M_tot: 0.00 μB per atom
* VASP energy: -9.463 eV/atom

***

No. 23
## HoBi (PBE-GGA)

Data for a relaxed structure of HoBi.

Unit cell a=6.905 b=4.541 c=4.541 alpha=120.00 beta=90.00 gamma=90.00
Atoms (fractional coordinates):
Bi  0.750  0.667  0.333
Bi  0.250  0.333  0.667
Ho  0.000  0.000  0.000
Ho  0.500  0.000  0.000

## Properties
* M_tot: 0.00 μB per atom
* VASP energy: -5.052 eV/atom